(1)
# HgSCl3 GGA-PBE relaxed
data_HgSCl3
_chemical_formula_sum 'Hg2 S2 Cl6'
_space_group_name_H-M_alt 'P 1'
_space_group_IT_number 1
_space_group_name_Hall 'P 1'
_cell_length_a 4.236
_cell_length_b 8.550
_cell_length_c 10.468
_cell_angle_alpha 74.25
_cell_angle_beta 101.67
_cell_angle_gamma 103.66
loop_
_atom_site_label
_atom_site_type_symbol
_atom_site_fract_x
_atom_site_fract_y
_atom_site_fract_z
_atom_site_occupancy
Cl1 Cl 0.125 0.214 0.936 1
Cl2 Cl 0.410 0.060 0.654 1
Cl3 Cl 0.875 0.786 0.064 1
Cl4 Cl 0.590 0.940 0.346 1
Cl5 Cl 0.126 0.415 0.368 1
Cl6 Cl 0.874 0.585 0.632 1
Hg1 Hg 0.769 0.239 0.512 1
Hg2 Hg 0.231 0.761 0.488 1
S1 S 0.485 0.382 0.043 1
S2 S 0.515 0.618 0.957 1
# Total magnetic moment: 1.00 μB per formula unit
# Excess energy over the best structure of this formula in the dataset: 0 meV per atom
# E_form (uncorrected): -138.2 kJ/mol of formula units
# Space-group type: P-1 (2)

(2)
# HgS6Cl GGA-PBE relaxed
data_HgS6Cl
_chemical_formula_sum 'Hg1 S6 Cl1'
_space_group_name_H-M_alt 'P 1'
_space_group_IT_number 1
_space_group_name_Hall 'P 1'
_cell_length_a 5.579
_cell_length_b 8.653
_cell_length_c 18.920
_cell_angle_alpha 47.82
_cell_angle_beta 24.44
_cell_angle_gamma 41.87
loop_
_atom_site_label
_atom_site_type_symbol
_atom_site_fract_x
_atom_site_fract_y
_atom_site_fract_z
_atom_site_occupancy
Hg1 Hg 0.000 0.000 0.000 1
S1 S 0.124 0.489 0.880 1
S2 S 0.876 0.511 0.120 1
S3 S 0.659 0.929 0.235 1
S4 S 0.341 0.071 0.766 1
S5 S 0.214 0.573 0.206 1
S6 S 0.786 0.427 0.794 1
Cl1 Cl 0.000 0.000 0.500 1
# Total magnetic moment: 0.00 μB per formula unit
# E_form (uncorrected): 103.3 kJ/mol of formula units
# Space-group type: P-1 (2)

(3)
# HgSbS2Cl GGA-PBE relaxed
data_HgSbS2Cl
_chemical_formula_sum 'Hg1 Sb1 S2 Cl1'
_space_group_name_H-M_alt 'P 1'
_space_group_IT_number 1
_space_group_name_Hall 'P 1'
_cell_length_a 5.082
_cell_length_b 5.082
_cell_length_c 5.233
_cell_angle_alpha 90.00
_cell_angle_beta 90.00
_cell_angle_gamma 90.00
loop_
_atom_site_label
_atom_site_type_symbol
_atom_site_fract_x
_atom_site_fract_y
_atom_site_fract_z
_atom_site_occupancy
Cl1 Cl 0.000 0.000 0.500 1
Hg1 Hg 0.500 0.500 0.500 1
Sb1 Sb 0.000 0.000 0.000 1
S1 S 0.500 0.000 0.000 1
S2 S 0.000 0.500 0.000 1
# Total magnetic moment: 0.06 μB per formula unit
# Excess energy over the best structure of this formula in the dataset: 402 meV per atom
# E_form (uncorrected): 60.6 kJ/mol of formula units
# Space-group type: P4/mmm (123)